# GGA-PBE SrLaSb2, relaxed
data_SrLaSb2
_cell_length_a 4.6708
_cell_length_b 4.6708
_cell_length_c 11.7092
_cell_angle_alpha 90.00
_cell_angle_beta 90.00
_cell_angle_gamma 90.00
_space_group_name_H-M_alt 'I -4 m 2'
_space_group_IT_number 119
_space_group_name_Hall 'I -4 -2'
loop_
_atom_site_label
_atom_site_type_symbol
_atom_site_fract_x
_atom_site_fract_y
_atom_site_fract_z
_atom_site_occupancy
Sr1 Sr 0.0000 0.0000 0.0000 1
La1 La 0.0000 0.5000 0.7500 1
Sb1 Sb 0.0000 0.0000 0.5000 1
Sb2 Sb 0.0000 0.5000 0.2500 1
# volume: 127.7 Å³/f.u.
# offset from the most stable computed form: 0.37 eV per formula unit
# formation energy (no corrections): -907.0 meV per atom